SrWO2 PBE with a Hubbard U relaxed; ρ = 8.08 g cm⁻³; total magnetization = 2.41 Bohr magnetons per cell; ΔE to the lowest computed polymorph = 0.000 eV per atom
1.0
4.189 0.000 0.000
0.000 4.189 0.000
0.000 0.000 3.554
O Sr W
2 1 1
direct
0.000 0.500 0.500 O
0.500 0.000 0.500 O
0.000 0.000 0.000 Sr
0.500 0.500 0.500 W